VASP calculation (PBE) on a geometry-optimized PmSc2I8 structure. Values from VASP.

Results
DFT total energy   -3.884 eV per atom
E_form (uncorrected)   -1174 meV per atom
DOS(E_F)   0.6 states/eV per cell

Structure (Quantum ESPRESSO input):
```
&SYSTEM
  ibrav = 0, nat = 11, ntyp = 3
/
ATOMIC_SPECIES
I 126.90 I.upf
Pm 145.00 Pm.upf
Sc 44.96 Sc.upf
ATOMIC_POSITIONS crystal
I 0.251 0.350 0.350
I 0.239 0.293 0.878
I 0.761 0.707 0.122
Pm 0.000 0.000 0.000
I 0.239 0.878 0.293
Sc 0.641 0.822 0.822
I 0.746 0.177 0.177
Sc 0.359 0.178 0.178
I 0.749 0.650 0.650
I 0.761 0.122 0.707
I 0.254 0.823 0.823
CELL_PARAMETERS angstrom
-1.624 -2.415 6.664
-5.240 -6.777 -3.466
5.253 -7.512 -1.175
```